Record 1
First-principles (PBE) data for NaLi2IrBr6 after structural relaxation, as listed in the Alexandria database.

space-group type: R3
formation energy without anion corrections: -0.971 eV/atom

Unit cell a=7.4155 b=7.4155 c=7.4155 alpha=54.84 beta=54.84 gamma=54.84
Closest atoms and distances in Å follow each position.
Element x y z (fractional)
Na 0.0000 0.0000 0.0000  6 Br 2.89-3.08
Li 0.2977 0.2977 0.2977  6 Br 2.75-2.84
Li 0.8126 0.8126 0.8126  6 Br 2.70-2.78
Ir 0.4853 0.4853 0.4853  6 Br 2.51-2.54
Br 0.0998 0.6841 0.4307  1 Ir 2.51, 1 Li 2.70
Br 0.2467 0.5665 0.8662  1 Ir 2.54, 2 Li 2.75-2.78
Br 0.4307 0.0998 0.6841  1 Ir 2.51, 1 Li 2.70
Br 0.5665 0.8662 0.2467  1 Ir 2.54, 2 Li 2.75-2.78
Br 0.6841 0.4307 0.0998  1 Ir 2.51, 1 Li 2.70
Br 0.8662 0.2467 0.5665  1 Ir 2.54, 2 Li 2.75-2.78

***

Record 2
First-principles (PBE) data for MnNiMoPd after structural relaxation, as listed in the Alexandria database.

space-group type: F-43m
ΔH_f (0 K): 0.0911 eV/atom

Unit cell a=4.2511 b=4.2511 c=4.2511 alpha=60.00 beta=60.00 gamma=60.00
Closest atoms and distances in Å follow each position.
Element x y z (fractional)
Mn 0.0000 0.0000 0.0000  4 Pd 2.60, 4 Mo 2.60
Ni 0.5000 0.5000 0.5000  4 Mo 2.60, 4 Pd 2.60
Mo 0.2500 0.2500 0.2500  4 Ni 2.60, 4 Mn 2.60
Pd 0.7500 0.7500 0.7500  4 Ni 2.60, 4 Mn 2.60

***

Record 3
First-principles (PBE) data for TbTc3C after structural relaxation, as listed in the Alexandria database.

space-group type: Pm-3m
ΔH_f (0 K): 0.0580 eV/atom

Unit cell a=4.2276 b=4.2276 c=4.2276 alpha=90.00 beta=90.00 gamma=90.00
Closest atoms and distances in Å follow each position.
Element x y z (fractional)
Tb 0.0000 0.0000 0.0000  12 Tc 2.99
Tc 0.0000 0.5000 0.5000  2 C 2.11
Tc 0.5000 0.0000 0.5000  2 C 2.11
Tc 0.5000 0.5000 0.0000  2 C 2.11
C 0.5000 0.5000 0.5000  6 Tc 2.11

***

Theoretical density, respectively: 4.637; 9.659; 10.218 g/cm³.